LaRe4Ru, relaxed, DFT GGA-PBE; electronic total energy = -10.18 eV/atom; SG = F-43m (216); M_tot = 0.00 μB/cell; V = 17.99 A^3/atom
1.0
0.0000 3.7789 3.7789
3.7789 0.0000 3.7789
3.7789 3.7789 0.0000
La Re Ru
1 4 1
Direct
0.0000 0.0000 0.0000 La
0.1252 0.6249 0.6249 Re
0.6249 0.1252 0.6249 Re
0.6249 0.6249 0.1252 Re
0.6249 0.6249 0.6249 Re
0.2500 0.2500 0.2500 Ru